Entry 1:
A relaxed structure of SrBeBr2, computed with PBE.

Summary:
Fermi-level density of states in states/eV/cell: 0.00
ΔE to the lowest computed polymorph in eV/f.u.: 0.57
Size of the total moment in μB/f.u.: 0.00
Formation energy from raw total energies in eV/atom: -0.678

```
SrBeBr2
1.0
-1.278 -0.897 4.301
0.086 -4.294 1.578
8.713 -0.380 4.840
Sr Br Be
1 2 1
direct
0.750 0.750 0.750 Sr
0.030 0.030 0.914 Br
0.470 0.470 0.586 Br
0.250 0.250 0.250 Be
```


Entry 2:
A relaxed structure of CePuSn4, computed with PBE.

Summary:
ΔE_f in meV per atom: -269
Fermi-level density of states in states/eV/cell: 9.81
Size of the total moment in μB/f.u.: 7.91

```
CePuSn4
1.0
6.150 0.000 0.000
3.075 5.326 0.000
3.075 1.775 5.022
Sn Ce Pu
4 1 1
direct
0.625 0.625 0.124 Sn
0.625 0.124 0.625 Sn
0.625 0.625 0.625 Sn
0.124 0.625 0.625 Sn
0.250 0.250 0.250 Ce
0.000 0.000 0.000 Pu
```